The following is a DFT calculation (PBE) of InCoAs2 after structural relaxation.

Geometry as CIF:
```
data_InCoAs2
_space_group_name_H-M_alt 'P 1'
_space_group_IT_number 1
_cell_length_a 4.3878
_cell_length_b 3.3526
_cell_length_c 5.1324
_cell_angle_alpha 90.00
_cell_angle_beta 106.92
_cell_angle_gamma 90.00
loop_
_space_group_symop_operation_xyz
'x,y,z'
loop_
_atom_site_label
_atom_site_fract_x
_atom_site_fract_y
_atom_site_fract_z
In1 0.0000 0.0000 0.0000
Co1 0.5000 0.5000 0.0000
As1 0.0000 0.5000 0.5000
As2 0.5000 0.0000 0.5000
```

Output
D(E_F) in states/eV/f.u.: 3.276
DFT formation energy in meV/atom: 414